No. 1
DFT (PBE) results for an optimized crystal structure of BaZr2.

- ΔH_f (0 K) (eV/atom) = 1.6198
- space-group type = No. 205
- polymorph energy (0 for the lowest one) (meV per atom) = 1301
- density of states at the Fermi level (states/eV/f.u.) = 5.7
- total magnetization (μB/f.u.) = 0.00

abc: 7.015 7.015 7.015
angles: 90.00 90.00 90.00
Sites, in units of the cell vectors:
Ba: 0.000 0.000 0.000
Ba: 0.500 0.500 0.000
Ba: 0.500 0.000 0.500
Ba: 0.000 0.500 0.500
Zr: 0.631 0.631 0.369
Zr: 0.369 0.369 0.631
Zr: 0.131 0.869 0.631
Zr: 0.869 0.131 0.369
Zr: 0.369 0.131 0.131
Zr: 0.631 0.869 0.869
Zr: 0.869 0.369 0.869
Zr: 0.131 0.631 0.131

---

No. 2
DFT (PBE) results for an optimized crystal structure of ZrZn2Pd.

- ΔH_f (0 K) (eV/atom) = -0.0916
- space-group type = No. 122
- density of states at the Fermi level (states/eV/f.u.) = 3.5
- total magnetization (μB/f.u.) = 0.00

abc: 7.380 7.380 5.862
angles: 50.99 50.99 90.00
Sites, in units of the cell vectors:
Zn: 0.655 0.125 0.250
Zn: 0.095 0.625 0.250
Zn: 0.375 0.345 0.750
Zn: 0.875 0.905 0.750
Zr: 0.500 0.500 0.000
Zr: 0.250 0.750 0.500
Pd: 0.000 0.000 0.000
Pd: 0.750 0.250 0.500

---

No. 3
DFT (PBE) results for an optimized crystal structure of Pr3Mg7Tl2.

- ΔH_f (0 K) (eV/atom) = -0.1374
- space-group type = No. 166
- density of states at the Fermi level (states/eV/f.u.) = 11.7
- total magnetization (μB/f.u.) = 0.00

abc: 6.177 6.177 10.417
angles: 72.75 72.75 60.00
Sites, in units of the cell vectors:
Pr: 0.000 0.000 0.000
Pr: 0.856 0.856 0.432
Pr: 0.144 0.144 0.568
Mg: 0.500 0.500 0.500
Mg: 0.921 0.415 0.250
Mg: 0.415 0.921 0.250
Mg: 0.415 0.415 0.250
Mg: 0.079 0.585 0.750
Mg: 0.585 0.585 0.750
Mg: 0.585 0.079 0.750
Tl: 0.666 0.666 0.003
Tl: 0.334 0.334 0.997

---

No. 4
DFT (PBE) results for an optimized crystal structure of RbGa3Sn2.

- ΔH_f (0 K) (eV/atom) = -0.0798
- space-group type = No. 12
- polymorph energy (0 for the lowest one) (meV per atom) = 0
- density of states at the Fermi level (states/eV/f.u.) = 2.0
- total magnetization (μB/f.u.) = 0.00

abc: 4.677 9.776 8.587
angles: 112.93 90.00 103.84
Sites, in units of the cell vectors:
Rb: 0.852 0.705 0.938
Rb: 0.148 0.295 0.062
Ga: 0.317 0.634 0.555
Ga: 0.959 0.918 0.599
Ga: 0.584 0.168 0.627
Ga: 0.416 0.832 0.373
Ga: 0.041 0.082 0.401
Ga: 0.683 0.366 0.445
Sn: 0.481 0.962 0.798
Sn: 0.519 0.038 0.202
Sn: 0.807 0.614 0.331
Sn: 0.193 0.386 0.669

---

No. 5
DFT (PBE) results for an optimized crystal structure of LaAg2SnSe4.

- space-group type = No. 10
- uncorrected formation energy (meV/atom) = -741
- density of states at the Fermi level (states/eV/f.u.) = 2.2
- total magnetization (μB/f.u.) = 0.00

abc: 4.257 6.881 7.342
angles: 69.03 90.00 90.00
Sites, in units of the cell vectors:
La: 0.000 0.500 0.500
Ag: 0.000 0.000 0.000
Ag: 0.500 0.000 0.500
Sn: 0.500 0.500 0.000
Se: 0.000 0.762 0.754
Se: 0.000 0.238 0.246
Se: 0.500 0.758 0.238
Se: 0.500 0.243 0.762

---

No. 6
DFT (PBE) results for an optimized crystal structure of Sc2TiCo.

- ΔH_f (0 K) (eV/atom) = 0.0849
- space-group type = No. 225
- polymorph energy (0 for the lowest one) (meV per atom) = 205
- density of states at the Fermi level (states/eV/f.u.) = 7.7
- total magnetization (μB/f.u.) = 2.06

abc: 4.641 4.641 4.641
angles: 60.00 60.00 60.00
Last column: magnetic moment on the atom in μB.
Sites, in units of the cell vectors:
Sc: 0.250 0.250 0.250  0.27
Sc: 0.750 0.750 0.750  0.27
Co: 0.500 0.500 0.500  -0.27
Ti: 0.000 0.000 0.000  1.30

---

No. 7
DFT (PBE) results for an optimized crystal structure of K6Na3O.

- space-group type = No. 36
- uncorrected formation energy (meV/atom) = -266
- density of states at the Fermi level (states/eV/f.u.) = 5.1
- total magnetization (μB/f.u.) = 0.00

abc: 12.164 8.076 11.006
angles: 111.53 90.00 90.00
Sites, in units of the cell vectors:
K: 0.956 0.668 0.787
K: 0.456 0.881 0.213
K: 0.176 0.000 0.533
K: 0.676 0.467 0.467
K: 0.242 0.917 0.835
K: 0.945 0.724 0.449
K: 0.445 0.276 0.551
K: 0.742 0.083 0.165
K: 0.176 0.533 0.533
K: 0.676 0.000 0.467
K: 0.956 0.119 0.787
K: 0.456 0.332 0.213
Na: 0.589 0.675 0.854
Na: 0.089 0.822 0.146
Na: 0.285 0.457 0.913
Na: 0.785 0.543 0.087
Na: 0.089 0.325 0.146
Na: 0.589 0.178 0.854
O: 0.072 0.827 0.655
O: 0.572 0.173 0.345

---

No. 8
DFT (PBE) results for an optimized crystal structure of PmPrSe3.

- space-group type = No. 59
- polymorph energy (0 for the lowest one) (meV per atom) = 54
- uncorrected formation energy (meV/atom) = -1851
- density of states at the Fermi level (states/eV/f.u.) = 0.0
- total magnetization (μB/f.u.) = 0.00

abc: 4.200 7.214 9.250
angles: 90.00 90.00 90.00
Sites, in units of the cell vectors:
Pm: 0.000 0.000 0.602
Pm: 0.500 0.500 0.398
Pr: 0.500 0.000 0.150
Pr: 0.000 0.500 0.850
Se: 0.000 0.772 0.330
Se: 0.500 0.728 0.670
Se: 0.500 0.272 0.670
Se: 0.000 0.228 0.330
Se: 0.000 0.000 0.932
Se: 0.500 0.500 0.068

---

No. 9
DFT (PBE) results for an optimized crystal structure of La2ErMg.

- ΔH_f (0 K) (eV/atom) = -0.0031
- space-group type = No. 225
- polymorph energy (0 for the lowest one) (meV per atom) = 20
- density of states at the Fermi level (states/eV/f.u.) = 4.3
- total magnetization (μB/f.u.) = 0.00

abc: 5.680 5.680 5.680
angles: 60.00 60.00 60.00
Sites, in units of the cell vectors:
Mg: 0.500 0.500 0.500
La: 0.250 0.250 0.250
La: 0.750 0.750 0.750
Er: 0.000 0.000 0.000

---

No. 10
DFT (PBE) results for an optimized crystal structure of ScCoSe2.

- space-group type = No. 122
- polymorph energy (0 for the lowest one) (meV per atom) = 102
- uncorrected formation energy (meV/atom) = -756
- density of states at the Fermi level (states/eV/f.u.) = 2.7
- total magnetization (μB/f.u.) = 2.00

abc: 5.674 5.674 7.143
angles: 66.60 66.60 90.00
Last column: magnetic moment on the atom in μB.
Sites, in units of the cell vectors:
Sc: 0.500 0.500 0.000  0.00
Sc: 0.250 0.750 0.500  0.00
Co: 0.000 0.000 0.000  1.79
Co: 0.750 0.250 0.500  1.80
Se: 0.657 0.125 0.250  0.06
Se: 0.093 0.625 0.250  0.06
Se: 0.375 0.343 0.750  0.06
Se: 0.875 0.907 0.750  0.06

---

Repeat the second record exactly.
DFT (PBE) results for an optimized crystal structure of ZrZn2Pd.

- ΔH_f (0 K) (eV/atom) = -0.0916
- space-group type = No. 122
- density of states at the Fermi level (states/eV/f.u.) = 3.5
- total magnetization (μB/f.u.) = 0.00

abc: 7.380 7.380 5.862
angles: 50.99 50.99 90.00
Sites, in units of the cell vectors:
Zn: 0.655 0.125 0.250
Zn: 0.095 0.625 0.250
Zn: 0.375 0.345 0.750
Zn: 0.875 0.905 0.750
Zr: 0.500 0.500 0.000
Zr: 0.250 0.750 0.500
Pd: 0.000 0.000 0.000
Pd: 0.750 0.250 0.500

---

Q: What is the density of states at the Fermi level in the ninth record?
A: 4.3 states/eV/f.u.

---

Q: What is the density of states at the Fermi level in the tenth record?
A: 2.7 states/eV/f.u.